Here is KRe2RuO8 after structural relaxation from the Alexandria database. Energies are from PBE.

Unit cell a=5.642 b=5.642 c=7.508 alpha=90.00 beta=90.00 gamma=120.00
Sites, in units of the cell vectors:
O 0.768 0.094 0.338
O 0.232 0.906 0.662
O 0.673 0.768 0.662
Re 0.667 0.333 0.263
O 0.094 0.327 0.662
Ru 0.000 0.000 0.500
O 0.667 0.333 0.028
O 0.906 0.673 0.338
K 0.000 0.000 0.000
O 0.333 0.667 0.972
Re 0.333 0.667 0.737
O 0.327 0.232 0.338

Computed properties:
Magnetic moment ... 0.6 μB/f.u.
Crystal system ... trigonal
Formation energy (no corrections) ... -1429 meV/atom
Symmetry ... P-3 (147)
DFT total energy ... -92.1 eV for the cell shown